VASP calculation (PBE-GGA) on an optimized crystal structure of Na4Pu3CrN8.

The calculation puts the calculated density at 7.56 g cm⁻³. For the density of states at the Fermi level, the calculation gives 15.36 states/eV/f.u. The size of the total moment comes out at 30.0 μB/cell. Its formation energy from raw total energies is -624 meV/atom.

The structure belongs to space group R-3m (No. 166, hexagonal axes); the cell edges are 6.6759, 6.6759 and 16.8744 Å and the angles 90.00°, 90.00° and 120.00°. The inequivalent atoms are Na at (0.0000, 0.0000, 0.0000), Na at (0.0000, 0.5000, 0.0000), Pu at (0.0000, 0.5000, 0.5000), Cr at (0.0000, 0.0000, 0.5000), N at (0.0000, 0.0000, 0.2296) and N at (0.0040, 0.5020, 0.2277).